Here is a relaxed ZnCdIr crystal from the Alexandria database. Energies are from PBE-GGA.

a = 7.294 Å, b = 7.023 Å, c = 2.870 Å
α = 83.79°, β = 73.18°, γ = 23.03°
Fractional coordinates of all 3 atoms:
Zn 0.676 0.676 0.324
Cd 0.999 0.999 0.001
Ir 0.325 0.325 0.675

Calculated values
Its total energy is -3.551 eV/atom. The formation energy is 0.13 eV/atom. The density of states at the Fermi level comes out at 1.535 states/eV/cell. As for the excess energy over the best structure of this formula in the dataset: 0.59 eV/f.u. As for the space group: Fmm2, No. 42. The calculation puts the total magnetization at 0.000 μB/atom.